Fe2SnC | PBE | relaxed

Properties
- energy of formation (meV per atom) = 384

abc: 6.154 6.154 5.263
angles: 90.00 90.00 90.00
Space group I-42d (No. 122)
Asymmetric unit:
Fe 0.137 0.750 0.125 x8
Sn 0.000 0.000 0.500 x4
C 0.000 0.000 0.000 x4